Entry 1:
VAuN2: relaxed, PBE.

Properties
The value obtained for the total magnetic moment is 0.40 μB/f.u. Its polymorph energy (0 for the lowest one) is 1320.2 meV per atom.

Unit cell a=3.903 b=3.903 c=3.903 alpha=60.00 beta=60.00 gamma=60.00
Site moments in Bohr magnetons follow the coordinates.
Fractional coordinates of all 4 atoms:
V: 0.000 0.000 0.000  0.82
Au: 0.500 0.500 0.500  -0.09
N: 0.250 0.250 0.250  -0.16
N: 0.750 0.750 0.750  -0.16

Entry 2:
TbNbBi: relaxed, PBE.

Properties
The value obtained for the formation energy is -113 meV per atom. The value obtained for the total magnetic moment is 0.00 μB/f.u.

Unit cell a=3.672 b=3.672 c=11.211 alpha=90.00 beta=90.00 gamma=90.00
Fractional coordinates of all 6 atoms:
Tb: 0.000 0.500 0.607
Tb: 0.500 0.000 0.393
Bi: 0.500 0.000 0.794
Bi: 0.000 0.500 0.206
Nb: 0.000 0.500 0.937
Nb: 0.500 0.000 0.063

Entry 3:
Ni3SbP2: relaxed, PBE.

Properties
The value obtained for the total magnetic moment is 0.00 μB/f.u. The calculation puts the final energy at -5.570 eV/atom.

Unit cell a=3.715 b=3.715 c=7.192 alpha=90.00 beta=90.00 gamma=120.00
Fractional coordinates of all 6 atoms:
Ni: 0.000 0.000 0.500
Ni: 0.667 0.333 0.734
Ni: 0.333 0.667 0.266
Sb: 0.000 0.000 0.000
P: 0.667 0.333 0.328
P: 0.333 0.667 0.672

Entry 4:
MgPa2Mo: relaxed, PBE.

Properties
The value obtained for the formation energy is 387 meV per atom. The value obtained for the total magnetic moment is 0.00 μB/f.u. Its polymorph energy (0 for the lowest one) is 191.5 meV per atom.

Unit cell a=3.123 b=3.123 c=11.376 alpha=82.11 beta=82.11 gamma=60.00
Fractional coordinates of all 4 atoms:
Mo: 0.500 0.500 0.500
Pa: 0.098 0.098 0.706
Pa: 0.902 0.902 0.294
Mg: 0.000 0.000 0.000

Entry 5:
RbPmAuO3: relaxed, PBE.

Properties
The value obtained for the total magnetic moment is 0.62 μB/f.u. The calculation puts the final energy at -5.592 eV/atom.

Unit cell a=3.564 b=7.410 c=11.320 alpha=116.04 beta=90.00 gamma=90.00
Site moments in Bohr magnetons follow the coordinates.
Fractional coordinates of all 12 atoms:
Rb: 0.250 0.251 0.187  0.00
Rb: 0.750 0.749 0.813  0.00
Pm: 0.250 0.710 0.132  -0.01
Pm: 0.750 0.290 0.868  -0.01
Au: 0.250 0.137 0.568  0.01
Au: 0.750 0.863 0.432  0.01
O: 0.750 0.911 0.136  0.25
O: 0.250 0.089 0.864  0.25
O: 0.250 0.712 0.352  0.02
O: 0.750 0.288 0.648  0.02
O: 0.750 0.476 0.096  0.23
O: 0.250 0.524 0.904  0.23

Entry 6:
Pm6OsPb2: relaxed, PBE.

Properties
The value obtained for the formation energy is -352 meV per atom. The value obtained for the total magnetic moment is 0.01 μB/f.u.

Unit cell a=4.407 b=8.423 c=8.421 alpha=120.01 beta=90.00 gamma=90.00
Fractional coordinates of all 9 atoms:
Pm: 0.500 0.601 0.000
Pm: 0.500 0.398 0.399
Pm: 0.500 0.000 0.601
Pm: 0.000 0.237 0.000
Pm: 0.000 0.764 0.764
Pm: 0.000 0.000 0.236
Os: 0.500 0.001 0.000
Pb: 0.000 0.333 0.666
Pb: 0.000 0.667 0.334

What did the third record say?
Ni3SbP2: relaxed, PBE.

Properties
The value obtained for the total magnetic moment is 0.00 μB/f.u. The calculation puts the final energy at -5.570 eV/atom.

Unit cell a=3.715 b=3.715 c=7.192 alpha=90.00 beta=90.00 gamma=120.00
Fractional coordinates of all 6 atoms:
Ni: 0.000 0.000 0.500
Ni: 0.667 0.333 0.734
Ni: 0.333 0.667 0.266
Sb: 0.000 0.000 0.000
P: 0.667 0.333 0.328
P: 0.333 0.667 0.672

Which value of total magnetic moment does entry 4 give?
0.00 μB/f.u.

Which value of total magnetic moment does entry 3 give?
0.00 μB/f.u.

Copy entry 2 word for word.
TbNbBi: relaxed, PBE.

Properties
The value obtained for the formation energy is -113 meV per atom. The value obtained for the total magnetic moment is 0.00 μB/f.u.

Unit cell a=3.672 b=3.672 c=11.211 alpha=90.00 beta=90.00 gamma=90.00
Fractional coordinates of all 6 atoms:
Tb: 0.000 0.500 0.607
Tb: 0.500 0.000 0.393
Bi: 0.500 0.000 0.794
Bi: 0.000 0.500 0.206
Nb: 0.000 0.500 0.937
Nb: 0.500 0.000 0.063